First-principles (GGA-PBE) data for a relaxed KB3Pb crystal, as listed in Alexandria via LeMat-Bulk.

Output
M_tot (μB/cell): 0.00
Energy above the most stable polymorph in this dataset (meV/atom): 0
Formation energy (eV per atom): 2.1480

Structure (CIF):
```
data_KB3Pb
_cell_length_a 4.9109
_cell_length_b 4.9109
_cell_length_c 4.9109
_cell_angle_alpha 90.00
_cell_angle_beta 90.00
_cell_angle_gamma 90.00
_space_group_name_H-M_alt 'P m -3 m'
_space_group_IT_number 221
_space_group_name_Hall '-P 4 2 3'
loop_
_atom_site_label
_atom_site_type_symbol
_atom_site_fract_x
_atom_site_fract_y
_atom_site_fract_z
K1 K 0.0000 0.0000 0.0000
B1 B 0.0000 0.5000 0.5000
Pb1 Pb 0.5000 0.5000 0.5000
```